## TlFeBrF2 (PBE with a Hubbard U)

Data for crystalline TlFeBrF2 at its relaxed geometry.

a = 5.4400 Å, b = 4.0304 Å, c = 9.9911 Å
α = 90.00°, β = 93.85°, γ = 90.00°
Closest atoms and distances in Å follow each position.
Atoms (fractional coordinates):
Tl (0.2062, 0.2500, 0.3970)  3 F 2.72-2.93
Tl (0.7938, 0.7500, 0.6030)  3 F 2.72-2.93
Fe (0.4715, 0.2500, 0.8639)  4 F 2.05-2.27
Fe (0.5285, 0.7500, 0.1361)  4 F 2.05-2.27
Br (0.0159, 0.7500, 0.1638)  2 Fe 2.65-2.82
Br (0.9841, 0.2500, 0.8362)  2 Fe 2.65-2.82
F (0.4825, 0.2500, 0.6595)  1 Fe 2.05
F (0.4965, 0.7500, 0.9086)  3 Fe 2.07-2.27
F (0.5035, 0.2500, 0.0914)  3 Fe 2.07-2.27
F (0.5175, 0.7500, 0.3405)  1 Fe 2.05

Crystal system: monoclinic
E (eV/atom): -4.35
Magnetic moment (μB per cell): 8.026
SG: No. 11
Excess energy over the best structure of this formula in the dataset (eV per atom): 0.000